# 1
## Na3NdNp2Te6 (PBE)

Data for a geometry-optimized Na3NdNp2Te6 structure.

a b c (Å): 7.810 7.810 7.968
angles (deg): 99.40 99.40 120.01
Site moments in Bohr magnetons follow the coordinates.
Atoms (fractional coordinates):
1 Te 0.259 0.259 0.764  -0.06
2 Te 0.079 0.417 0.237  -0.06
3 Na 0.165 0.835 0.500  0.00
4 Na 0.835 0.165 0.500  0.00
5 Na 0.500 0.500 0.500  0.00
6 Te 0.921 0.583 0.763  -0.06
7 Te 0.583 0.921 0.763  -0.06
8 Np 0.667 0.333 0.000  4.00
9 Te 0.417 0.079 0.237  -0.06
10 Nd 0.000 0.000 0.000  0.05
11 Te 0.741 0.741 0.236  -0.06
12 Np 0.333 0.667 0.000  4.00

Values from the calculation:
The formation energy (no corrections) comes out at -0.979 eV/atom. As for the crystal system: monoclinic. The calculation puts the density of states at the Fermi level at 19.52 states/eV/f.u.

=====

# 2
## Na2MgTl2 (PBE)

Data for a geometry-optimized Na2MgTl2 structure.

a b c (Å): 7.972 7.972 4.555
angles (deg): 90.00 90.00 90.00
Atoms (fractional coordinates):
1 Tl 0.857 0.643 0.000
2 Mg 0.000 0.000 0.000
3 Tl 0.357 0.857 0.000
4 Na 0.339 0.161 0.500
5 Na 0.839 0.339 0.500
6 Tl 0.643 0.143 0.000
7 Mg 0.500 0.500 0.000
8 Na 0.161 0.661 0.500
9 Na 0.661 0.839 0.500
10 Tl 0.143 0.357 0.000

Values from the calculation:
As for the crystal system: tetragonal. As for the energy of formation: -2.5 kJ per mole of atoms. The calculation puts the density of states at the Fermi level at 2.78 states/eV/f.u.

=====

# 3
## Al15Ni3Ge4 (PBE)

Data for a geometry-optimized Al15Ni3Ge4 structure.

a b c (Å): 9.903 9.903 9.903
angles (deg): 109.47 109.47 109.47
Atoms (fractional coordinates):
1 Ni 0.750 0.250 0.500
2 Al 0.726 0.217 0.726
3 Al 0.809 0.809 0.000
4 Ni 0.250 0.750 0.500
5 Ge 0.000 0.336 0.000
6 Ge 0.336 0.000 0.000
7 Al 0.783 0.509 0.509
8 Al 0.000 0.274 0.491
9 Al 0.756 0.000 0.478
10 Al 0.000 0.191 0.191
11 Ge 0.326 0.326 0.326
12 Ge 0.000 0.674 0.000
13 Al 0.191 0.000 0.191
14 Al 0.491 0.000 0.274
15 Al 0.000 0.491 0.274
16 Al 0.244 0.244 0.723
17 Ni 0.500 0.250 0.750
18 Al 0.491 0.274 0.000
19 Al 0.726 0.726 0.217
20 Al 0.217 0.726 0.726
21 Ge 0.664 0.664 0.664
22 Al 0.000 0.809 0.809
23 Al 0.191 0.191 0.000
24 Ni 0.750 0.500 0.250
25 Ge 0.674 0.000 0.000
26 Al 0.723 0.244 0.244
27 Ni 0.500 0.750 0.250
28 Al 0.522 0.277 0.522
29 Al 0.277 0.522 0.522
30 Al 0.509 0.509 0.783
31 Al 0.000 0.756 0.478
32 Al 0.756 0.478 0.000
33 Ge 0.000 0.000 0.674
34 Al 0.000 0.478 0.756
35 Al 0.274 0.000 0.491
36 Al 0.274 0.491 0.000
37 Al 0.244 0.723 0.244
38 Ge 0.000 0.000 0.336
39 Al 0.809 0.000 0.809
40 Ni 0.250 0.500 0.750
41 Al 0.509 0.783 0.509
42 Al 0.478 0.756 0.000
43 Al 0.522 0.522 0.277
44 Al 0.478 0.000 0.756

Values from the calculation:
As for the crystal system: cubic. As for the energy of formation: -20.3 kJ per mole of atoms. The calculation puts the density of states at the Fermi level at 6.41 states/eV/f.u.

=====

# 4
## Ac3La4Sm2 (PBE)

Data for a geometry-optimized Ac3La4Sm2 structure.

a b c (Å): 6.638 9.854 11.830
angles (deg): 71.90 74.27 90.39
Atoms (fractional coordinates):
1 Ac 0.271 0.365 0.617
2 Sm 0.600 0.855 0.614
3 Ac 0.066 0.966 0.716
4 La 0.929 0.187 0.949
5 La 0.071 0.813 0.051
6 Sm 0.160 0.576 0.836
7 Sm 0.400 0.145 0.386
8 La 0.822 0.241 0.502
9 La 0.511 0.094 0.831
10 Ac 0.729 0.635 0.383
11 Ac 0.934 0.034 0.284
12 La 0.735 0.482 0.716
13 La 0.489 0.906 0.169
14 Ac 0.603 0.698 0.948
15 La 0.178 0.759 0.498
16 Ac 0.397 0.302 0.052
17 La 0.265 0.518 0.284
18 Sm 0.840 0.424 0.164

Values from the calculation:
As for the crystal system: triclinic. As for the energy of formation: 4.0 kJ per mole of atoms. The calculation puts the density of states at the Fermi level at 16.12 states/eV/f.u.

=====

# 5
## Ir5Se3 (PBE)

Data for a geometry-optimized Ir5Se3 structure.

a b c (Å): 5.598 5.598 4.090
angles (deg): 90.00 90.00 94.17
Atoms (fractional coordinates):
1 Ir 0.500 0.000 0.000
2 Ir 0.000 0.000 0.000
3 Ir 0.245 0.245 0.500
4 Ir 0.755 0.755 0.500
5 Se 0.500 0.500 0.000
6 Se 0.795 0.205 0.500
7 Ir 0.000 0.500 0.000
8 Se 0.205 0.795 0.500

Values from the calculation:
The formation energy (no corrections) comes out at 0.522 eV/atom. As for the crystal system: orthorhombic. The calculation puts the density of states at the Fermi level at 6.93 states/eV/f.u.

=====

# 6
## CaCrIn (PBE)

Data for a geometry-optimized CaCrIn structure.

a b c (Å): 3.494 3.494 7.354
angles (deg): 90.00 90.00 120.00
Site moments in Bohr magnetons follow the coordinates.
Atoms (fractional coordinates):
1 Cr 0.667 0.333 0.355  3.71
2 In 0.333 0.667 0.641  -0.03
3 Ca 0.000 0.000 0.003  -0.02

Values from the calculation:
As for the crystal system: trigonal. As for the energy of formation: 41.3 kJ per mole of atoms. The calculation puts the density of states at the Fermi level at 2.28 states/eV/f.u.